Below is a relaxed SrCa3 crystal, with properties calculated at the PBEsol level.

Cell: 6.4770 7.8575 7.8575 Å, 119.93 90.00 90.00°
Last column: nearest neighbours and their distance in Å.
Fractional positions:
Ca  0.2500  0.8363  0.6713  8 Ca 3.87-3.99, 4 Sr 3.93-3.97
Ca  0.2500  0.8351  0.1649  8 Ca 3.88-3.97, 4 Sr 3.93-3.97
Ca  0.7500  0.6713  0.8363  8 Ca 3.87-3.99, 4 Sr 3.93-3.97
Ca  0.2500  0.3287  0.1637  8 Ca 3.87-3.99, 4 Sr 3.93-3.97
Ca  0.7500  0.1637  0.3287  8 Ca 3.87-3.99, 4 Sr 3.93-3.97
Ca  0.7500  0.1649  0.8351  8 Ca 3.88-3.97, 4 Sr 3.93-3.97
Sr  0.2500  0.3340  0.6660  12 Ca 3.93-3.97
Sr  0.7500  0.6660  0.3340  12 Ca 3.93-3.97

Summary:
DFT total energy	-2.047	eV/atom
distance to the lowest polymorph of the same formula	0.2	kJ/mol of atoms
energy relative to the elements	0.013	eV/atom
total moment	0.00	Bohr magnetons per cell